Entry 1:
Compound: NdSmMgGa
Source: the Alexandria database
Functional: GGA-PBE
Structure: relaxed

a b c (Å): 5.303 5.303 5.303
angles (deg): 60.00 60.00 60.00
Sites, in units of the cell vectors:
1 Nd 0.500 0.500 0.500
2 Ga 0.250 0.250 0.250
3 Mg 0.750 0.750 0.750
4 Sm 0.000 0.000 0.000

Results
Energy = -3.863 eV/atom
DFT formation energy = -32 kJ per mole of atoms

=====

Entry 2:
Compound: Li4U3AuS8
Source: the Alexandria database
Functional: GGA-PBE
Structure: relaxed

a b c (Å): 7.621 7.669 7.673
angles (deg): 119.97 119.78 90.00
Each line ends with the local moment (μB).
Sites, in units of the cell vectors:
1 U 0.000 0.500 0.500  2.26
2 U 0.500 0.500 0.000  2.25
3 U 0.500 0.500 0.500  2.26
4 S 0.741 0.241 0.481  -0.06
5 S 0.253 0.754 0.998  -0.06
6 S 0.745 0.754 0.998  -0.06
7 S 0.259 0.759 0.519  -0.06
8 S 0.248 0.241 0.496  -0.06
9 S 0.255 0.246 0.002  -0.06
10 S 0.752 0.759 0.504  -0.06
11 S 0.747 0.246 0.002  -0.06
12 Li 0.000 0.000 0.000  0.00
13 Li 0.500 0.000 0.500  0.00
14 Li 0.500 0.000 0.000  0.00
15 Li 0.000 0.000 0.500  0.00
16 Au 0.000 0.500 0.000  -0.04

Results
Energy = -6.059 eV/atom
Raw formation energy = -1195 meV per atom

=====

Entry 3:
Compound: Zn2CuTe
Source: the Alexandria database
Functional: GGA-PBE
Structure: relaxed

a b c (Å): 3.077 3.077 7.998
angles (deg): 90.00 90.00 90.05
Sites, in units of the cell vectors:
1 Zn 0.500 0.500 0.268
2 Zn 0.000 0.000 0.073
3 Te 0.500 0.500 0.711
4 Cu 0.000 0.000 0.448

Results
Energy = -2.214 eV/atom
Raw formation energy = 232 meV per atom
Energy relative to the lowest polymorph listed for this composition = 212.8 meV per atom

=====

Entry 4:
Compound: Sc2CdP
Source: the Alexandria database
Functional: GGA-PBE
Structure: relaxed

a b c (Å): 3.636 3.636 7.240
angles (deg): 90.00 90.00 89.99
Sites, in units of the cell vectors:
1 P 0.500 0.500 0.101
2 Sc 0.500 0.500 0.748
3 Sc 0.000 0.000 0.112
4 Cd 0.000 0.000 0.539

Results
Energy = -5.260 eV/atom
DFT formation energy = -49 kJ per mole of atoms
Energy relative to the lowest polymorph listed for this composition = 311.9 meV per atom

=====

Entry 5:
Compound: NbPPt2Se
Source: the Alexandria database
Functional: GGA-PBE
Structure: relaxed

a b c (Å): 4.958 4.820 4.958
angles (deg): 90.00 90.00 90.00
Sites, in units of the cell vectors:
1 Pt 0.000 0.000 0.500
2 Pt 0.500 0.000 0.000
3 P 0.500 0.500 0.500
4 Se 0.000 0.500 0.000
5 Nb 0.000 0.000 0.000

Results
Energy = -5.190 eV/atom
Raw formation energy = 1020 meV per atom

=====

Entry 6:
Compound: Rb3CdPb
Source: the Alexandria database
Functional: GGA-PBE
Structure: relaxed

a b c (Å): 6.432 6.824 12.323
angles (deg): 90.00 90.00 118.12
Sites, in units of the cell vectors:
1 Pb 0.231 0.109 0.750
2 Pb 0.121 0.891 0.250
3 Rb 0.799 0.246 0.250
4 Rb 0.495 0.637 0.089
5 Rb 0.553 0.754 0.750
6 Rb 0.858 0.363 0.911
7 Rb 0.858 0.363 0.589
8 Rb 0.495 0.637 0.411
9 Cd 0.176 0.000 0.500
10 Cd 0.176 0.000 0.000

Results
Energy = -1.568 eV/atom
DFT formation energy = -6 kJ per mole of atoms
Energy relative to the lowest polymorph listed for this composition = 0.0 meV per atom

=====

Entry 7:
Compound: Ta2Cu2Ge
Source: the Alexandria database
Functional: GGA-PBE
Structure: relaxed

a b c (Å): 6.193 6.193 3.969
angles (deg): 90.00 90.00 90.00
Sites, in units of the cell vectors:
1 Ta 0.168 0.668 0.500
2 Ta 0.832 0.332 0.500
3 Ta 0.668 0.832 0.500
4 Ta 0.332 0.168 0.500
5 Cu 0.867 0.633 0.000
6 Cu 0.633 0.133 0.000
7 Cu 0.367 0.867 0.000
8 Cu 0.133 0.367 0.000
9 Ge 0.000 0.000 0.000
10 Ge 0.500 0.500 0.000

Results
Energy = -7.185 eV/atom
DFT formation energy = 11 kJ per mole of atoms

=====

Entry 8:
Compound: Sm4CdAg2Rh
Source: the Alexandria database
Functional: GGA-PBE
Structure: relaxed

a b c (Å): 5.229 5.229 8.946
angles (deg): 73.01 73.01 60.00
Sites, in units of the cell vectors:
1 Cd 0.000 0.000 0.000
2 Sm 0.385 0.385 0.845
3 Sm 0.132 0.132 0.603
4 Sm 0.615 0.615 0.155
5 Sm 0.868 0.868 0.397
6 Rh 0.500 0.500 0.500
7 Ag 0.740 0.740 0.779
8 Ag 0.260 0.260 0.221

Results
Energy = -4.525 eV/atom
DFT formation energy = -40 kJ per mole of atoms

=====

Entry 9:
Compound: Tm6Al2Ag
Source: the Alexandria database
Functional: GGA-PBE
Structure: relaxed

a b c (Å): 4.923 7.074 8.623
angles (deg): 114.22 106.63 90.00
Sites, in units of the cell vectors:
1 Al 0.666 0.666 0.333
2 Al 0.334 0.334 0.667
3 Ag 0.000 0.000 0.000
4 Tm 0.500 0.248 0.000
5 Tm 0.166 0.919 0.332
6 Tm 0.166 0.413 0.332
7 Tm 0.500 0.752 0.000
8 Tm 0.834 0.081 0.668
9 Tm 0.834 0.587 0.668

Results
Energy = -4.138 eV/atom
DFT formation energy = -1 kJ per mole of atoms